4
Lattice="-1.3127 1.3127 2.5498 1.3127 -1.3127 2.5498 1.3127 1.3127 -2.5498" Properties=species:S:1:pos:R:3 comment="PBE FeH3, optimized geometry" volume_a3_per_cell=17.58 m_tot_mub_per_cell=0.66 e_tot_ev_per_cell=-16.671 pbc="T T T"
H 0.0000 0.0000 2.5498
H 1.3127 0.0000 1.2749
H 0.0000 1.3127 1.2749
Fe 0.0000 0.0000 0.0000



9
Lattice="0.0000 3.3940 3.3940 3.3940 0.0000 3.3940 3.3940 3.3940 0.0000" Properties=species:S:1:pos:R:3 comment="PBE FeHg2H6, optimized geometry" volume_a3_per_cell=78.19 m_tot_mub_per_cell=0.00 e_tot_ev_per_cell=-25.759 pbc="T T T"
H 1.5753 3.3940 3.3940
H 5.2126 3.3940 3.3940
H 3.3940 3.3940 1.5753
H 3.3940 3.3940 5.2126
H 3.3940 5.2126 3.3940
H 3.3940 1.5753 3.3940
Hg 5.0909 5.0909 5.0909
Hg 1.6970 1.6970 1.6970
Fe 0.0000 0.0000 0.0000



10
Lattice="1.3387 2.1929 3.9702 -2.5541 3.6049 1.6865 -2.5212 -0.5392 3.9644" Properties=species:S:1:pos:R:3 comment="PBE Li2FeH6Ir, optimized geometry" volume_a3_per_cell=74.78 m_tot_mub_per_cell=1.45 e_tot_ev_per_cell=-42.595 pbc="T T T"
Li -2.8024 3.9440 7.2158
Li -0.9341 1.3147 2.4053
Fe 0.0000 0.0000 0.0000
Ir -1.8683 2.6293 4.8105
H -1.5227 2.1377 6.3848
H -0.2522 2.4094 4.3871
H -3.4844 2.8493 5.2340
H -2.2139 3.1210 3.2363
H -2.1973 1.0327 4.3841
H -1.5393 4.2260 5.2369



10
Lattice="-1.7911 -2.4352 0.0416 1.1758 -0.8193 2.6620 -8.3986 6.2738 5.6404" Properties=species:S:1:pos:R:3 comment="PBE K2NbFeH6, optimized geometry" volume_a3_per_cell=108.80 m_tot_mub_per_cell=2.29 e_tot_ev_per_cell=-38.580 pbc="T T T"
H -4.4956 3.3878 4.7450
H -0.3077 -1.6272 1.3518
H -4.2106 1.2588 2.2472
H -5.9791 2.5798 3.4348
H -2.7272 2.0667 3.5574
H -4.5070 1.5097 4.1720
K -6.7995 3.2222 5.7116
K -2.2145 -0.2029 2.6324
Nb -4.1993 3.1369 2.8202
Fe 0.0000 0.0000 0.0000



10
Lattice="-0.3006 -0.4305 4.5868 -2.8337 -3.1448 1.8426 1.7389 -3.7330 2.0870" Properties=species:S:1:pos:R:3 comment="PBE Li3FeH6, optimized geometry" volume_a3_per_cell=69.58 m_tot_mub_per_cell=1.00 e_tot_ev_per_cell=-36.174 pbc="T T T"
H -1.9779 -3.6127 5.3990
H 0.4246 -3.9218 5.5274
H -0.9063 -5.3479 4.0855
H -1.8200 -3.3865 2.9890
H -0.4891 -1.9604 4.4309
H 0.5825 -3.6956 3.1174
Fe 0.0000 0.0000 0.0000
Li -0.3488 -1.8271 2.1291
Li -1.0465 -5.4812 6.3873
Li -0.6977 -3.6542 4.2582



10
Lattice="2.2778 1.3151 3.7103 -2.2778 1.3151 3.7103 0.0000 -2.6302 3.7103" Properties=species:S:1:pos:R:3 comment="PBE Li2FeNiH6, optimized geometry" volume_a3_per_cell=66.69 relative_energy_mev_per_atom=0 m_tot_mub_per_cell=1.02 e_tot_ev_per_cell=-39.154 pbc="T T T"
H -1.0743 0.7571 4.6321
H 0.1222 1.3097 6.5001
H 1.1928 0.5518 4.6321
H -0.1185 -1.3089 4.6321
H 1.0731 -0.7607 6.5001
H -1.1953 -0.5490 6.5001
Fe 0.0000 0.0000 0.0060
Ni 0.0000 0.0000 5.5704
Li 0.0000 0.0000 2.7889
Li 0.0000 0.0000 8.3490



10
Lattice="2.2679 1.3093 3.6959 -2.2679 1.3093 3.6959 0.0000 -2.6187 3.6959" Properties=species:S:1:pos:R:3 comment="PBE Li2FeNiH6, optimized geometry" volume_a3_per_cell=65.85 relative_energy_mev_per_atom=2 m_tot_mub_per_cell=0.97 e_tot_ev_per_cell=-39.132 pbc="T T T"
Fe 0.0000 0.0000 0.0047
Li 0.0000 0.0000 2.7786
Li 0.0000 0.0000 8.3161
Ni 0.0000 0.0000 5.5479
H 1.1870 0.5568 4.6121
H -1.0758 0.7496 4.6121
H 0.1147 1.3076 6.4776
H -0.1113 -1.3064 4.6121
H 1.0751 -0.7532 6.4776
H -1.1898 -0.5545 6.4776



10
Lattice="4.0386 1.7076 1.8383 0.1848 1.2468 4.5844 2.5056 -2.6192 3.0769" Properties=species:S:1:pos:R:3 comment="PBE Li2FeH6Pt, optimized geometry" volume_a3_per_cell=76.00 m_tot_mub_per_cell=0.71 e_tot_ev_per_cell=-39.712 pbc="T T T"
H 1.7315 0.7218 4.6648
H 3.7107 0.9585 3.2546
H 2.9234 -1.2636 3.8906
H 3.8056 1.5988 5.6089
H 3.0183 -0.6233 6.2450
H 4.9975 -0.3867 4.8347
Li 5.0467 0.2514 7.1247
Li 1.6822 0.0838 2.3749
Fe 0.0000 0.0000 0.0000
Pt 3.3645 0.1676 4.7498



10
Lattice="0.0000 3.7152 3.7152 3.7152 0.0000 3.7152 3.7152 3.7152 0.0000" Properties=species:S:1:pos:R:3 comment="PBE Sr2LiFeH6, optimized geometry" volume_a3_per_cell=102.56 m_tot_mub_per_cell=1.01 e_tot_ev_per_cell=-38.068 pbc="T T T"
H 1.7076 3.7152 3.7152
H 5.7227 3.7152 3.7152
H 3.7152 3.7152 5.7227
H 3.7152 1.7076 3.7152
H 3.7152 5.7227 3.7152
H 3.7152 3.7152 1.7076
Li 3.7152 3.7152 3.7152
Sr 1.8576 1.8576 1.8576
Sr 5.5727 5.5727 5.5727
Fe 0.0000 0.0000 0.0000



44
Lattice="9.0878 0.0000 0.0000 0.0000 9.0878 0.0000 0.0000 0.0000 4.9764" Properties=species:S:1:pos:R:3 comment="PBE Na3FeH7, optimized geometry" volume_a3_per_cell=410.99 m_tot_mub_per_cell=0.00 e_tot_ev_per_cell=-151.386 pbc="T T T"
H 7.4617 7.4617 0.0000
H 2.3521 2.3521 3.5515
H 2.3521 2.3521 1.4248
H 8.1083 0.9795 3.4694
H 6.8960 2.1918 1.0634
H 6.1787 0.6268 2.4882
H 3.5644 3.5644 0.9812
H 6.7357 6.7357 1.4248
H 6.1701 2.9178 2.4882
H 8.4610 2.9091 2.4882
H 8.1083 0.9795 1.5070
H 7.4530 5.1707 0.0000
H 0.6268 6.1787 2.4882
H 5.5234 5.5234 3.9952
H 6.7357 6.7357 3.5515
H 2.9178 6.1701 2.4882
H 2.9091 8.4610 2.4882
H 0.9795 8.1083 1.5070
H 1.6261 1.6261 0.0000
H 1.6348 3.9171 0.0000
H 3.9171 1.6348 0.0000
H 0.9795 8.1083 3.4694
H 2.1918 6.8960 1.0634
H 5.5234 5.5234 0.9812
H 5.1707 7.4530 0.0000
H 3.5644 3.5644 3.9952
H 2.1918 6.8960 3.9130
H 6.8960 2.1918 3.9130
Na 7.2987 4.8408 2.4882
Na 8.0380 8.0380 2.4882
Na 3.4941 5.5938 0.0000
Na 1.0499 1.0499 2.4882
Na 8.7910 2.7548 0.0000
Na 0.2969 6.3330 0.0000
Na 6.3330 0.2969 0.0000
Na 1.7891 4.2471 2.4882
Na 2.7548 8.7910 0.0000
Na 4.8408 7.2987 2.4882
Na 4.2471 1.7891 2.4882
Na 5.5938 3.4941 0.0000
Fe 6.3729 6.3729 0.0000
Fe 7.2589 1.8290 2.4882
Fe 1.8290 7.2589 2.4882
Fe 2.7149 2.7149 0.0000



10
Lattice="2.0896 -3.1097 3.1761 -1.5709 -0.1852 4.6499 -2.4898 -3.9211 1.5967" Properties=species:S:1:pos:R:3 comment="PBE Na2ZnFeH6, optimized geometry" volume_a3_per_cell=83.78 m_tot_mub_per_cell=0.01 e_tot_ev_per_cell=-32.799 pbc="T T T"
Na -1.4783 -5.4120 7.0670
Na -0.4928 -1.8040 2.3557
Zn -0.9856 -3.6080 4.7113
Fe 0.0000 0.0000 0.0000
H -1.2949 -1.7992 4.6789
H -0.1906 -3.4425 6.3573
H -1.7805 -3.7735 3.0654
H -0.6763 -5.4168 4.7438
H -2.6106 -3.8713 5.5227
H 0.6395 -3.3447 3.9000



6
Lattice="4.4385 0.0000 0.0000 0.0000 2.7394 0.0000 -0.0037 0.0000 4.8164" Properties=species:S:1:pos:R:3 comment="PBE FeHPd, optimized geometry" volume_a3_per_cell=58.56 m_tot_mub_per_cell=5.89 e_tot_ev_per_cell=-33.693 pbc="T T T"
H 0.0000 0.0000 0.0000
H -0.0019 1.3697 2.4082
Fe 1.1520 0.0000 1.6447
Fe 3.2828 0.0000 3.1717
Pd 1.1389 1.3697 3.9956
Pd 3.2959 1.3697 0.8209